Record 1
Crystalline Pr8Ho2Er at its relaxed geometry. Source: the Alexandria database, functional PBE.

Cell and atoms, written as CIF:
```
data_Pr8Ho2Er
_space_group_name_H-M_alt 'C 1 2/m 1'
_space_group_IT_number 12
_space_group_name_Hall '-C 2y'
_cell_length_a 17.213
_cell_length_b 8.320
_cell_length_c 5.744
_cell_angle_alpha 90.00
_cell_angle_beta 109.43
_cell_angle_gamma 90.00
loop_
_atom_site_label
_atom_site_fract_x
_atom_site_fract_y
_atom_site_fract_z
Pr1 0.000 0.208 0.000
Pr2 0.136 0.204 0.636
Pr3 0.163 0.500 0.163
Ho1 0.201 0.000 0.201
Er1 0.000 0.500 0.500
```

Results
As for the energy relative to the elements: 0.11 eV per atom. The calculation puts the energy above the lowest structure with this stoichiometry at 0 meV/atom.

=====

Record 2
Crystalline CsLiTe2 at its relaxed geometry. Source: the Alexandria database, functional PBE.

Cell and atoms, written as CIF:
```
data_CsLiTe2
_space_group_name_H-M_alt 'R -3 m'
_space_group_IT_number 166
_space_group_name_Hall '-R 3 2"'
_cell_length_a 5.4590
_cell_length_b 5.4590
_cell_length_c 19.8933
_cell_angle_alpha 90.00
_cell_angle_beta 90.00
_cell_angle_gamma 120.00
loop_
_atom_site_label
_atom_site_fract_x
_atom_site_fract_y
_atom_site_fract_z
Cs1 0.0000 0.0000 0.0000
Li1 0.0000 0.0000 0.5000
Te1 0.0000 0.0000 0.1849
```

Results
The calculation puts the energy above the lowest structure with this stoichiometry at 299 meV/atom.

=====

Record 3
Crystalline MnCo at its relaxed geometry. Source: the Alexandria database, functional PBE.

Cell and atoms, written as CIF:
```
data_MnCo
_space_group_name_H-M_alt 'P -1'
_space_group_IT_number 2
_space_group_name_Hall '-P 1'
_cell_length_a 2.458
_cell_length_b 4.312
_cell_length_c 4.649
_cell_angle_alpha 62.69
_cell_angle_beta 74.78
_cell_angle_gamma 89.99
loop_
_atom_site_label
_atom_site_fract_x
_atom_site_fract_y
_atom_site_fract_z
Mn1 0.123 0.290 0.252
Co1 0.378 0.209 0.746
```

Results
As for the energy relative to the elements: 0.05 eV per atom.

=====

Record 4
Crystalline Sc6InP2Se3 at its relaxed geometry. Source: the Alexandria database, functional PBE.

Cell and atoms, written as CIF:
```
data_Sc6InP2Se3
_space_group_name_H-M_alt 'C 1 2/m 1'
_space_group_IT_number 12
_space_group_name_Hall '-C 2y'
_cell_length_a 16.946
_cell_length_b 3.814
_cell_length_c 7.919
_cell_angle_alpha 90.00
_cell_angle_beta 103.57
_cell_angle_gamma 90.00
loop_
_atom_site_label
_atom_site_fract_x
_atom_site_fract_y
_atom_site_fract_z
Sc1 0.007 0.000 0.269
Sc2 0.173 0.500 0.107
Sc3 0.174 0.500 0.570
In1 0.000 0.500 0.000
P1 0.168 0.000 0.336
Se1 0.000 0.500 0.500
Se2 0.164 0.000 0.831
```

=====

no.,DFT total energy (eV per atom)
1,-4.61
2,-2.79
3,-8.08
4,-6.52